CoSbSe2N: optimized geometry, PBE.

Lattice parameters (Å, degrees): 5.030 5.030 3.474 90.00 90.00 90.00
Atoms (fractional coordinates):
1 Sb 0.500 0.500 0.500
2 Se 0.500 0.000 0.000
3 Se 0.000 0.500 0.000
4 N 0.000 0.000 0.500
5 Co 0.000 0.000 0.000

Results
Its formation energy without anion corrections is 0.2836 eV per atom. The calculation puts the energy above the most stable polymorph in this dataset at 0.0000 eV per atom. As for the volume: 17.6 Å³ per atom. The value obtained for the density of states at the Fermi level is 4.4 states/eV per cell.